Record 1
A relaxed Hf12Ir6C crystal, computed with PBE.

Structure (CIF):
```
data_Hf12Ir6C
_symmetry_space_group_name_H-M 'R -3'
_symmetry_Int_Tables_number 148
_symmetry_space_group_name_Hall '-R 3'
_cell_length_a 11.4167
_cell_length_b 11.4167
_cell_length_c 10.7692
_cell_angle_alpha 90.00
_cell_angle_beta 90.00
_cell_angle_gamma 120.00
loop_
_atom_site_label
_atom_site_fract_x
_atom_site_fract_y
_atom_site_fract_z
Hf1 0.0338 0.2218 0.3960
Hf2 0.0473 0.1917 0.8871
Ir1 0.0541 0.2714 0.6484
C1 0.0000 0.0000 0.0000
```

energy of formation: -0.53 eV per atom
total magnetization: 0.00 Bohr magnetons per cell
uncorrected energy: -0.3711 hartree per atom
crystal system: trigonal

Record 2
A relaxed La2IrCl crystal, computed with PBE.

Structure (CIF):
```
data_La2IrCl
_symmetry_space_group_name_H-M 'F -4 3 m'
_symmetry_Int_Tables_number 216
_symmetry_space_group_name_Hall 'F -4 2 3'
_cell_length_a 7.181
_cell_length_b 7.181
_cell_length_c 7.181
_cell_angle_alpha 90.00
_cell_angle_beta 90.00
_cell_angle_gamma 90.00
loop_
_atom_site_label
_atom_site_fract_x
_atom_site_fract_y
_atom_site_fract_z
La1 0.000 0.000 0.000
La2 0.250 0.250 0.250
Ir1 0.000 0.000 0.500
Cl1 0.250 0.250 0.750
```

total magnetization: 0.00 Bohr magnetons per cell
uncorrected energy: -0.1980 hartree per atom
energy relative to the lowest polymorph listed for this composition: 1090 meV per atom
crystal system: cubic

Record 3
A relaxed PrZr2Mo crystal, computed with PBE.

Structure (CIF):
```
data_PrZr2Mo
_symmetry_space_group_name_H-M 'P 4/m m m'
_symmetry_Int_Tables_number 123
_symmetry_space_group_name_Hall '-P 4 2'
_cell_length_a 3.420
_cell_length_b 3.420
_cell_length_c 8.178
_cell_angle_alpha 90.00
_cell_angle_beta 90.00
_cell_angle_gamma 90.00
loop_
_atom_site_label
_atom_site_fract_x
_atom_site_fract_y
_atom_site_fract_z
Pr1 0.000 0.000 0.000
Zr1 0.500 0.500 0.310
Mo1 0.000 0.000 0.500
```

energy of formation: 0.09 eV per atom
total magnetization: 0.00 Bohr magnetons per cell
uncorrected energy: -0.2972 hartree per atom
energy relative to the lowest polymorph listed for this composition: 0 meV per atom
crystal system: tetragonal

Record 4
A relaxed KRb2Ag crystal, computed with PBE.

Structure (CIF):
```
data_KRb2Ag
_symmetry_space_group_name_H-M 'I -4 2 d'
_symmetry_Int_Tables_number 122
_symmetry_space_group_name_Hall 'I -4 2bw'
_cell_length_a 12.223
_cell_length_b 12.223
_cell_length_c 7.069
_cell_angle_alpha 90.00
_cell_angle_beta 90.00
_cell_angle_gamma 90.00
loop_
_atom_site_label
_atom_site_fract_x
_atom_site_fract_y
_atom_site_fract_z
K1 0.000 0.000 0.000
Rb1 0.133 0.250 0.625
Ag1 0.000 0.000 0.500
```

energy of formation: 0.10 eV per atom
total magnetization: 0.00 Bohr magnetons per cell
uncorrected energy: -0.0502 hartree per atom
crystal system: tetragonal

Record 5
A relaxed Ti3AgS6 crystal, computed with PBE.

Structure (CIF):
```
data_Ti3AgS6
_symmetry_space_group_name_H-M 'R -3'
_symmetry_Int_Tables_number 148
_symmetry_space_group_name_Hall '-R 3'
_cell_length_a 5.9362
_cell_length_b 5.9362
_cell_length_c 19.4492
_cell_angle_alpha 90.00
_cell_angle_beta 90.00
_cell_angle_gamma 120.00
loop_
_atom_site_label
_atom_site_fract_x
_atom_site_fract_y
_atom_site_fract_z
Ti1 0.0000 0.0000 0.0000
Ti2 0.0000 0.0000 0.3330
Ag1 0.0000 0.0000 0.5000
S1 0.0000 0.3375 0.4072
```

total magnetization: 0.00 Bohr magnetons per cell
uncorrected energy: -0.2309 hartree per atom
crystal system: trigonal

Record 6
A relaxed GdPuHgSb crystal, computed with PBE.

Structure (CIF):
```
data_GdPuHgSb
_symmetry_space_group_name_H-M 'F -4 3 m'
_symmetry_Int_Tables_number 216
_symmetry_space_group_name_Hall 'F -4 2 3'
_cell_length_a 7.577
_cell_length_b 7.577
_cell_length_c 7.577
_cell_angle_alpha 90.00
_cell_angle_beta 90.00
_cell_angle_gamma 90.00
loop_
_atom_site_label
_atom_site_fract_x
_atom_site_fract_y
_atom_site_fract_z
Gd1 0.000 0.000 0.000
Pu1 0.000 0.000 0.500
Hg1 0.250 0.250 0.750
Sb1 0.250 0.250 0.250
```

total magnetization: 2.58 Bohr magnetons per cell
uncorrected energy: -0.3188 hartree per atom
crystal system: cubic

Record 7
A relaxed Na3GaRe crystal, computed with PBE.

Structure (CIF):
```
data_Na3GaRe
_symmetry_space_group_name_H-M 'P m -3 m'
_symmetry_Int_Tables_number 221
_symmetry_space_group_name_Hall '-P 4 2 3'
_cell_length_a 5.754
_cell_length_b 5.754
_cell_length_c 5.754
_cell_angle_alpha 90.00
_cell_angle_beta 90.00
_cell_angle_gamma 90.00
loop_
_atom_site_label
_atom_site_fract_x
_atom_site_fract_y
_atom_site_fract_z
Na1 0.000 0.000 0.500
Ga1 0.500 0.500 0.500
Re1 0.000 0.000 0.000
```

energy of formation: 1.52 eV per atom
total magnetization: 3.78 Bohr magnetons per cell
uncorrected energy: -0.0870 hartree per atom
energy relative to the lowest polymorph listed for this composition: 57 meV per atom
crystal system: cubic

Record 8
A relaxed LaErNiIr crystal, computed with PBE.

Structure (CIF):
```
data_LaErNiIr
_symmetry_space_group_name_H-M 'F -4 3 m'
_symmetry_Int_Tables_number 216
_symmetry_space_group_name_Hall 'F -4 2 3'
_cell_length_a 6.963
_cell_length_b 6.963
_cell_length_c 6.963
_cell_angle_alpha 90.00
_cell_angle_beta 90.00
_cell_angle_gamma 90.00
loop_
_atom_site_label
_atom_site_fract_x
_atom_site_fract_y
_atom_site_fract_z
La1 0.000 0.000 0.000
Er1 0.000 0.000 0.500
Ni1 0.250 0.250 0.750
Ir1 0.250 0.250 0.250
```

energy of formation: -0.53 eV per atom
total magnetization: 0.00 Bohr magnetons per cell
uncorrected energy: -0.2413 hartree per atom
crystal system: cubic